No. 1
Pr8NdDy3 PBE relaxed; formation enthalpy at 0 K = 0.1109 eV per atom
1.0
7.9167 -2.3414 -3.9230
-5.5653 7.2152 0.3493
-0.4696 2.3414 8.8229
Pr Dy Nd
8 3 1
Cartesian
5.5634 -0.4338 -1.6656 Pr
0.0108 3.6187 4.8604 Pr
2.2716 0.5332 -0.6786 Pr
3.5684 4.3218 5.3862 Pr
-1.5671 5.9379 7.2585 Pr
0.7933 2.8934 1.4947 Pr
-4.8932 7.6490 6.1176 Pr
2.6271 4.3406 -1.2191 Pr
-0.9573 5.9376 1.8774 Dy
3.2270 1.2776 3.6270 Dy
4.7257 2.4369 0.5489 Dy
6.3857 0.0000 4.2015 Nd

***

No. 2
TaFeAsBr2 PBE relaxed; energy relative to the lowest polymorph listed for this composition = 423 meV per atom
1.0
-1.1846 4.4653 0.3887
-1.0618 0.1110 -4.5115
-4.4203 -1.2605 1.0094
Fe Ta Br As
1 1 2 1
Cartesian
0.0000 0.0000 0.0000 Fe
-3.3334 1.6579 -1.5567 Ta
-0.5309 0.0555 -2.2557 Br
-0.5923 2.2327 0.1943 Br
-2.2102 -0.6303 0.5047 As

***

No. 3
Density functional theory data (PBE) for a geometry-optimized Tl12SbTe7 structure.

```
Tl12SbTe7
1.0
10.4157 0.0000 -2.1437
-4.3960 7.9402 -3.7756
-1.6237 0.0000 9.6948
Te Tl Sb
7 12 1
Cartesian
1.9504 2.2131 0.9743 Te
2.4456 5.7270 2.8013 Te
-0.4671 0.0604 6.8121 Te
-4.0904 5.6666 6.7911 Te
4.8631 7.8798 -3.0366 Te
5.2079 0.0000 -1.0718 Te
8.4864 2.2735 -3.0155 Te
3.6671 5.6643 -0.2031 Tl
7.1884 2.2994 -0.0600 Tl
-2.7924 5.6408 3.8356 Tl
0.0966 4.6401 0.0322 Tl
1.1497 5.5864 5.7670 Tl
7.9008 2.3642 3.6580 Tl
4.7429 0.0544 5.6417 Tl
0.7289 2.2759 3.9787 Tl
3.2463 2.3538 -1.9914 Tl
4.2994 3.3001 3.7434 Tl
-3.5048 5.5759 0.1176 Tl
-0.3469 7.8858 -1.8661 Tl
0.0000 0.0000 0.0000 Sb
```

***

No. 4
Density functional theory data (PBE) for a geometry-optimized Rb2OsSBr6 structure.

```
Rb2OsSBr6
1.0
8.2101 0.0000 0.0000
0.0000 8.2101 0.0000
4.1050 4.1050 5.0839
Rb Os Br S
2 1 6 1
Cartesian
4.1050 8.2101 2.5420 Rb
8.2101 4.1050 2.5420 Rb
0.0000 0.0000 0.0000 Os
4.1050 4.1050 2.5199 Br
1.7799 6.4301 0.0000 Br
1.7799 1.7799 0.0000 Br
8.2101 8.2101 2.5640 Br
6.4301 1.7799 0.0000 Br
6.4301 6.4301 0.0000 Br
4.1050 4.1050 0.0000 S
```

***

No. 5
Density functional theory data (PBE) for a geometry-optimized BaReN3 structure.

```
BaReN3
1.0
4.3549 0.0000 0.0000
0.0000 4.3549 0.0000
0.0000 0.0000 4.3549
N Ba Re
3 1 1
Cartesian
0.0000 0.0000 2.1775 N
2.1775 0.0000 0.0000 N
0.0000 2.1775 0.0000 N
0.0000 0.0000 0.0000 Ba
2.1775 2.1775 2.1775 Re
```

***

No. 6
Density functional theory data (PBE) for a geometry-optimized La2ScSe structure.

```
La2ScSe
1.0
9.3701 -0.0116 -0.0069
8.5275 3.8833 -0.0069
8.5275 1.8447 3.4172
La Se Sc
2 1 1
Cartesian
12.9263 2.7963 1.6648 La
0.2863 0.0619 0.0369 La
19.8189 4.2873 2.5525 Se
6.6063 1.4291 0.8508 Sc
```

***

No. 7
Density functional theory data (PBE) for a geometry-optimized K3SnF8 structure.

```
K3SnF8
1.0
5.9071 0.0000 0.0000
0.0000 5.9071 0.0000
0.0000 0.0000 5.9071
F K Sn
8 3 1
Cartesian
1.2350 4.6720 1.2350 F
4.6720 4.6720 1.2350 F
1.2350 1.2350 4.6720 F
4.6720 1.2350 1.2350 F
1.2350 1.2350 1.2350 F
4.6720 1.2350 4.6720 F
4.6720 4.6720 4.6720 F
1.2350 4.6720 4.6720 F
0.0000 2.9535 2.9535 K
2.9535 2.9535 0.0000 K
2.9535 0.0000 2.9535 K
0.0000 0.0000 0.0000 Sn
```

***

No. 8
Dy6Ho2MgSc3 PBE relaxed; formation enthalpy at 0 K = 0.0441 eV per atom
1.0
-5.6965 1.1189 1.4605
2.1224 -5.5897 0.2927
4.2453 3.2067 10.0021
Dy Sc Ho Mg
6 3 2 1
Cartesian
2.2642 1.2715 7.8557 Dy
-0.8240 0.1574 8.9306 Dy
-1.5930 -2.5356 3.8996 Dy
-1.1127 0.8160 3.2142 Dy
1.7839 -2.0801 8.5411 Dy
1.4952 -1.4215 2.8247 Dy
2.9474 -2.8729 5.4876 Sc
-2.2762 1.6088 6.2678 Sc
0.3356 -0.6321 5.8777 Sc
-3.0895 -1.1179 1.0711 Ho
-0.4846 -3.3529 0.6820 Ho
0.0000 0.0000 0.0000 Mg

***

| no. | DFT total energy (eV/cell) |
| --- | --- |
| 1 | -55.5 |
| 2 | -22.9 |
| 3 | -58.3 |
| 4 | -32.7 |
| 5 | -21.8 |
| 6 | -22.6 |
| 7 | -51.4 |
| 8 | -56.8 |